Entry from Alexandria: an optimized crystal structure of La2P4O13 (GGA-PBEsol).

abc: 9.6961 9.6961 8.8640
angles: 90.00 90.00 135.62
Sites, in units of the cell vectors:
1 La 0.1029 0.3935 0.3586
2 La 0.3935 0.1029 0.6414
3 La 0.6065 0.8971 0.1414
4 La 0.8971 0.6065 0.8586
5 P 0.1002 0.4169 0.9999
6 P 0.1421 0.2716 0.7339
7 P 0.2716 0.1421 0.2661
8 P 0.4169 0.1002 0.0001
9 P 0.5831 0.8998 0.5001
10 P 0.7284 0.8579 0.7661
11 P 0.8579 0.7284 0.2339
12 P 0.8998 0.5831 0.4999
13 O 0.0327 0.4834 0.8975
14 O 0.0657 0.7669 0.5949
15 O 0.0915 0.9085 0.2500
16 O 0.1765 0.4030 0.6145
17 O 0.2000 0.3686 0.8975
18 O 0.2032 0.2387 0.2868
19 O 0.2331 0.9343 0.9051
20 O 0.2387 0.2032 0.7132
21 O 0.2633 0.5731 0.1122
22 O 0.3686 0.2000 0.1025
23 O 0.4030 0.1765 0.3856
24 O 0.4269 0.7367 0.3878
25 O 0.4834 0.0327 0.1025
26 O 0.5166 0.9673 0.6025
27 O 0.5731 0.2633 0.8878
28 O 0.5970 0.8235 0.8856
29 O 0.6314 0.8000 0.6025
30 O 0.7367 0.4269 0.6122
31 O 0.7613 0.7968 0.2132
32 O 0.7669 0.0657 0.4051
33 O 0.7968 0.7613 0.7868
34 O 0.8000 0.6314 0.3975
35 O 0.8235 0.5970 0.1144
36 O 0.9085 0.0915 0.7500
37 O 0.9343 0.2331 0.0949
38 O 0.9673 0.5166 0.3975

Calculated volume ... 583 Å³/cell
Space group ... C222_1 (20)
Formation energy without anion corrections ... -4944.7 kJ/mol of formula units
Offset from the most stable computed form ... 6 meV/atom